Material: CaS2ClO
Method: DFT, PBE-GGA
State: relaxed

The structure in CIF format:
```
data_CaS2ClO
_symmetry_space_group_name_H-M 'P 4/m m m'
_symmetry_Int_Tables_number 123
_symmetry_space_group_name_Hall '-P 4 2'
_cell_length_a 3.978
_cell_length_b 3.978
_cell_length_c 5.777
_cell_angle_alpha 90.00
_cell_angle_beta 90.00
_cell_angle_gamma 90.00
loop_
_atom_site_label
_atom_site_type_symbol
_atom_site_fract_x
_atom_site_fract_y
_atom_site_fract_z
_atom_site_occupancy
Ca1 Ca 0.000 0.000 0.000 1
S1 S 0.000 0.500 0.500 1
Cl1 Cl 0.500 0.500 0.000 1
O1 O 0.500 0.500 0.500 1
```

Values from the calculation:
**Volume**: 91.4 Å³/cell
**ΔE to the lowest computed polymorph**: 0 meV per atom
**Formation energy without anion corrections**: -604 meV per atom

***

Material: CaSCl2O
Method: DFT, PBE-GGA
State: relaxed

The structure in CIF format:
```
data_CaSCl2O
_symmetry_space_group_name_H-M 'P 4/m m m'
_symmetry_Int_Tables_number 123
_symmetry_space_group_name_Hall '-P 4 2'
_cell_length_a 5.337
_cell_length_b 5.337
_cell_length_c 5.845
_cell_angle_alpha 90.00
_cell_angle_beta 90.00
_cell_angle_gamma 90.00
loop_
_atom_site_label
_atom_site_type_symbol
_atom_site_fract_x
_atom_site_fract_y
_atom_site_fract_z
_atom_site_occupancy
Ca1 Ca 0.000 0.000 0.000 1
S1 S 0.000 0.000 0.500 1
Cl1 Cl 0.000 0.500 0.000 1
O1 O 0.500 0.500 0.500 1
```

Values from the calculation:
**Volume**: 166.5 Å³/cell
**ΔE to the lowest computed polymorph**: 357 meV per atom
**Formation energy without anion corrections**: -173 meV per atom

***

Material: CaS2ClO
Method: DFT, PBE-GGA
State: relaxed

The structure in CIF format:
```
data_CaS2ClO
_symmetry_space_group_name_H-M 'P 4/m m m'
_symmetry_Int_Tables_number 123
_symmetry_space_group_name_Hall '-P 4 2'
_cell_length_a 5.598
_cell_length_b 5.598
_cell_length_c 5.301
_cell_angle_alpha 90.00
_cell_angle_beta 90.00
_cell_angle_gamma 90.00
loop_
_atom_site_label
_atom_site_type_symbol
_atom_site_fract_x
_atom_site_fract_y
_atom_site_fract_z
_atom_site_occupancy
Ca1 Ca 0.000 0.000 0.000 1
S1 S 0.000 0.500 0.000 1
Cl1 Cl 0.000 0.000 0.500 1
O1 O 0.500 0.500 0.500 1
```

Values from the calculation:
**Volume**: 166.1 Å³/cell
**ΔE to the lowest computed polymorph**: 893 meV per atom
**Formation energy without anion corrections**: 289 meV per atom

***

Material: CaSi2ClO
Method: DFT, PBE-GGA
State: relaxed

The structure in CIF format:
```
data_CaSi2ClO
_symmetry_space_group_name_H-M 'P 4/m m m'
_symmetry_Int_Tables_number 123
_symmetry_space_group_name_Hall '-P 4 2'
_cell_length_a 4.091
_cell_length_b 4.091
_cell_length_c 5.793
_cell_angle_alpha 90.00
_cell_angle_beta 90.00
_cell_angle_gamma 90.00
loop_
_atom_site_label
_atom_site_type_symbol
_atom_site_fract_x
_atom_site_fract_y
_atom_site_fract_z
_atom_site_occupancy
Ca1 Ca 0.000 0.000 0.000 1
Si1 Si 0.000 0.500 0.500 1
Cl1 Cl 0.500 0.500 0.000 1
O1 O 0.000 0.000 0.500 1
```

Values from the calculation:
**Volume**: 96.9 Å³/cell
**Formation energy without anion corrections**: -527 meV per atom